Run a
Compound: CsZrB2
Source: Alexandria via LeMat-Bulk
Functional: PBE
Structure: relaxed

a = 8.370 Å, b = 8.370 Å, c = 8.370 Å
α = 140.69°, β = 140.69°, γ = 56.81°
Sites, in units of the cell vectors:
Cs: 0.375 0.625 0.750
Cs: 0.625 0.375 0.250
Zr: 0.125 0.875 0.250
Zr: 0.875 0.125 0.750
B: 0.000 0.000 0.000
B: 0.000 0.000 0.500
B: 0.000 0.500 0.000
B: 0.500 0.000 0.500

Computed properties:
Density of states at the Fermi level (states/eV/f.u.): 2.778


Run b
Compound: CsZrB2
Source: Alexandria via LeMat-Bulk
Functional: PBE
Structure: relaxed

a = 4.734 Å, b = 4.734 Å, c = 4.734 Å
α = 60.00°, β = 60.00°, γ = 60.00°
Sites, in units of the cell vectors:
Cs: 0.000 0.000 0.000
Zr: 0.500 0.500 0.500
B: 0.250 0.250 0.250
B: 0.750 0.750 0.750

Computed properties:
Density of states at the Fermi level (states/eV/f.u.): 3.957


Relative energy table, unit meV per atom: run a 0; run b 579